12
Lattice="6.6011 0.0000 0.0000 -3.2928 6.4850 0.0000 -0.0795 -3.5821 8.8658" Properties=species:S:1:pos:R:3 comment="OsBr5 | the Open Quantum Materials Database | PBE-GGA | optimized geometry" dft_energy_ev_per_fu=-20.11 magmom_total_mub_per_cell=6.0 sg="P-1, No. 2" pbc="T T T"
Os -0.0353 0.5888 1.8667
Os 3.2640 2.3142 6.9991
Br -2.2562 3.2397 5.0493
Br -1.3564 0.9957 7.5490
Br 0.9241 -2.2567 8.4631
Br 1.9484 -0.8035 2.2464
Br 1.0141 2.4879 2.9276
Br 2.2147 0.4151 5.9381
Br 1.2803 3.7064 6.6194
Br 2.3046 5.1597 0.4026
Br 4.5851 1.9073 1.3168
Br 5.4849 -0.3368 3.8164